No. 1
Material: Pr2Mn2ZnRh5
Method: DFT, PBE
State: relaxed

Computed properties:
Magnetization in μB/cell: 14.90
DFT formation energy in eV/atom: -0.2994
Volume in A^3/atom: 17.5

```
Pr2Mn2ZnRh5
1.0
3.704 0.000 0.000
0.000 9.731 0.000
0.000 0.000 9.731
Rh Zn Pr Mn
10 2 4 4
Direct
0.500 0.440 0.296
0.500 0.204 0.060
0.500 0.796 0.940
0.500 0.296 0.560
0.500 0.560 0.704
0.500 0.940 0.204
0.500 0.500 0.000
0.500 0.704 0.440
0.500 0.000 0.500
0.500 0.060 0.796
0.000 0.000 0.000
0.000 0.500 0.500
0.000 0.180 0.320
0.000 0.320 0.820
0.000 0.820 0.680
0.000 0.680 0.180
0.000 0.621 0.879
0.000 0.379 0.121
0.000 0.121 0.621
0.000 0.879 0.379
```


No. 2
Material: RbBiPdBr2
Method: DFT, PBE
State: relaxed

Computed properties:
Formation energy from raw total energies in eV per atom: 0.431
Magnetization in μB/cell: 1.98
Volume in A^3/atom: 40.6

```
RbBiPdBr2
1.0
6.165 0.000 0.000
0.000 5.336 0.000
0.000 0.000 6.165
Pd Bi Br Rb
1 1 2 1
Direct
0.000 0.500 0.000
0.500 0.500 0.500
0.500 0.000 0.000
0.000 0.000 0.500
0.000 0.000 0.000
```


No. 3
Material: BaV3Ag
Method: DFT, PBE
State: relaxed

Computed properties:
Magnetization in μB/cell: 10.71
ΔE to the lowest computed polymorph in eV/atom: 0.000
DFT formation energy in eV/atom: 1.3171
Volume in A^3/atom: 27.6

```
BaV3Ag
1.0
5.169 0.000 0.000
0.000 5.169 0.000
0.000 0.000 5.169
Ag V Ba
1 3 1
Direct
0.000 0.000 0.000
0.000 0.500 0.000
0.000 0.000 0.500
0.500 0.000 0.000
0.500 0.500 0.500
```


No. 4
Material: Tl3HgRh
Method: DFT, PBE
State: relaxed

Computed properties:
Magnetization in μB/cell: 0.00
ΔE to the lowest computed polymorph in eV/atom: 0.430
DFT formation energy in eV/atom: 0.4073
Volume in A^3/atom: 45.4

```
Tl3HgRh
1.0
3.371 -12.709 0.000
3.371 12.709 0.000
0.000 0.000 5.296
Hg Tl Rh
2 6 2
Direct
0.111 0.889 0.250
0.889 0.111 0.750
0.000 0.000 0.500
0.017 0.432 0.250
0.983 0.568 0.750
0.568 0.983 0.250
0.432 0.017 0.750
0.000 0.000 0.000
0.785 0.215 0.750
0.215 0.785 0.250
```


No. 5
Material: Ho8Te4PPt3
Method: DFT, PBE
State: relaxed

Computed properties:
Formation energy from raw total energies in eV per atom: -1.307
Magnetization in μB/cell: 0.00
Volume in A^3/atom: 26.7

```
Ho8Te4PPt3
1.0
-2.146 -6.361 4.888
7.653 0.442 3.934
-4.752 6.805 -0.286
Te P Ho Pt
4 1 8 3
Direct
0.000 0.000 0.500
0.500 0.000 0.500
0.500 0.000 0.000
0.000 0.000 0.000
0.000 0.500 0.000
0.238 0.712 0.974
0.762 0.288 0.026
0.736 0.709 0.472
0.264 0.291 0.528
0.264 0.288 0.026
0.762 0.288 0.525
0.736 0.712 0.974
0.238 0.712 0.475
0.500 0.500 0.500
0.000 0.500 0.500
0.500 0.500 0.000
```


No. 6
Material: AcSmRh
Method: DFT, PBE
State: relaxed

Computed properties:
Magnetization in μB/cell: 0.00
ΔE to the lowest computed polymorph in eV/atom: 0.015
DFT formation energy in eV/atom: -0.5032
Volume in A^3/atom: 29.6

```
AcSmRh
1.0
-3.496 0.446 3.505
-1.681 -4.543 -1.107
4.899 -2.504 4.647
Ac Rh Sm
2 2 2
Direct
0.821 0.874 0.535
0.306 0.359 0.305
0.278 0.330 0.702
0.849 0.903 0.137
0.321 0.859 0.920
0.806 0.374 0.920
```